{"formula": "MnAlSbO6", "functional": "PBE with a Hubbard U", "state": "relaxed", "cell": [[4.972, 0.000, 0.000], [-2.486, 4.306, 0.000], [0.000, 0.000, 8.533]], "species": ["Mn", "Mn", "Al", "Al", "Sb", "Sb", "O", "O", "O", "O", "O", "O", "O", "O", "O", "O", "O", "O"], "fractional_positions": [[0.000, 0.000, 0.000], [0.000, 0.000, 0.500], [0.333, 0.667, 0.250], [0.667, 0.333, 0.750], [0.333, 0.667, 0.750], [0.667, 0.333, 0.250], [0.014, 0.342, 0.126], [0.014, 0.672, 0.374], [0.328, 0.342, 0.374], [0.328, 0.986, 0.126], [0.342, 0.014, 0.626], [0.342, 0.328, 0.874], [0.658, 0.672, 0.126], [0.658, 0.986, 0.374], [0.672, 0.014, 0.874], [0.672, 0.658, 0.626], [0.986, 0.328, 0.626], [0.986, 0.658, 0.874]], "magmom_total_mub_per_atom": 0.332, "energy_ev_per_cell": -120.5}